1.
A geometry-optimized U2CSe2 structure, computed with PBE.

Summary:
Magnetization in μB/atom: 0.7544
DFT total energy in eV per atom: -8.496
D(E_F) in states/eV/atom: 1.89
Formation energy (no corrections) in kcal/mol of atoms: -17.11

Unit cell a=5.636 b=7.115 c=7.115 alpha=56.86 beta=66.67 gamma=66.67
Element x y z (fractional)
U 0.099 0.610 0.192
U 0.901 0.390 0.808
U 0.401 0.808 0.390
U 0.599 0.192 0.610
C 0.250 0.500 0.500
C 0.750 0.500 0.500
Se 0.354 0.294 0.999
Se 0.646 0.706 0.001
Se 0.146 0.001 0.706
Se 0.854 0.999 0.294

2.
A geometry-optimized InSbRh2 structure, computed with PBE.

Summary:
Magnetization in μB/atom: 0.0000
DFT total energy in eV per atom: -5.679
D(E_F) in states/eV/atom: 0.36
Formation energy (no corrections) in kcal/mol of atoms: -6.63

Unit cell a=5.944 b=5.944 c=5.944 alpha=144.80 beta=141.94 gamma=52.81
Element x y z (fractional)
In 0.281 0.781 0.500
Sb 0.533 0.533 0.000
Rh 0.974 0.974 0.000
Rh 0.711 0.211 0.500

3.
A geometry-optimized Np3Sb5S12 structure, computed with PBE.

Summary:
Magnetization in μB/atom: 0.6005
DFT total energy in eV per atom: -5.925
D(E_F) in states/eV/atom: 1.31
Formation energy (no corrections) in kcal/mol of atoms: -11.00

Unit cell a=13.998 b=13.998 c=13.998 alpha=109.47 beta=109.47 gamma=109.47
Element x y z (fractional)
Np 0.750 0.375 0.125
Np 0.875 0.750 0.125
Np 0.375 0.750 0.625
Np 0.250 0.125 0.375
Np 0.875 0.125 0.250
Np 0.375 0.625 0.250
Np 0.625 0.375 0.750
Np 0.125 0.875 0.750
Np 0.750 0.875 0.625
Np 0.625 0.250 0.375
Np 0.125 0.250 0.875
Np 0.250 0.625 0.875
Sb 0.125 0.375 0.250
Sb 0.000 0.500 0.000
Sb 0.000 0.000 0.000
Sb 0.375 0.250 0.125
Sb 0.500 0.000 0.500
Sb 0.500 0.500 0.000
Sb 0.125 0.750 0.375
Sb 0.750 0.125 0.875
Sb 0.750 0.625 0.375
Sb 0.375 0.125 0.750
Sb 0.625 0.875 0.250
Sb 0.500 0.500 0.500
Sb 0.500 0.000 0.000
Sb 0.000 0.000 0.500
Sb 0.250 0.375 0.625
Sb 0.250 0.875 0.125
Sb 0.000 0.500 0.500
Sb 0.875 0.250 0.625
Sb 0.625 0.750 0.875
Sb 0.875 0.625 0.750
S 0.722 0.137 0.053
S 0.331 0.553 0.416
S 0.947 0.363 0.278
S 0.553 0.222 0.137
S 0.585 0.722 0.669
S 0.947 0.584 0.169
S 0.331 0.778 0.415
S 0.084 0.915 0.137
S 0.584 0.947 0.669
S 0.722 0.585 0.169
S 0.778 0.447 0.363
S 0.831 0.916 0.053
S 0.137 0.722 0.553
S 0.363 0.416 0.085
S 0.085 0.916 0.363
S 0.415 0.137 0.584
S 0.085 0.169 0.222
S 0.447 0.669 0.084
S 0.831 0.915 0.278
S 0.137 0.415 0.084
S 0.363 0.947 0.778
S 0.584 0.637 0.415
S 0.916 0.831 0.553
S 0.778 0.331 0.915
S 0.416 0.363 0.585
S 0.084 0.169 0.447
S 0.222 0.669 0.085
S 0.169 0.085 0.722
S 0.637 0.053 0.222
S 0.863 0.585 0.916
S 0.553 0.331 0.916
S 0.585 0.863 0.416
S 0.915 0.831 0.778
S 0.915 0.084 0.637
S 0.863 0.278 0.447
S 0.169 0.084 0.947
S 0.637 0.584 0.915
S 0.416 0.053 0.331
S 0.278 0.415 0.831
S 0.222 0.553 0.637
S 0.916 0.085 0.863
S 0.669 0.222 0.585
S 0.447 0.778 0.863
S 0.053 0.416 0.831
S 0.415 0.278 0.331
S 0.053 0.637 0.722
S 0.669 0.447 0.584
S 0.278 0.863 0.947

4.
A geometry-optimized RbBTe2Br structure, computed with PBE.

Summary:
Magnetization in μB/atom: 0.6000
DFT total energy in eV per atom: -1.686
D(E_F) in states/eV/atom: 0.91
Formation energy (no corrections) in kcal/mol of atoms: 33.08

Unit cell a=6.870 b=6.281 c=6.870 alpha=90.00 beta=90.00 gamma=90.00
Element x y z (fractional)
B 0.500 0.500 0.500
Te 0.000 0.000 0.500
Te 0.500 0.000 0.000
Br 0.000 0.500 0.000
Rb 0.000 0.000 0.000

5.
A geometry-optimized ThCd5Pd2 structure, computed with PBE.

Summary:
Magnetization in μB/atom: 0.0000
DFT total energy in eV per atom: -3.153
D(E_F) in states/eV/atom: 0.45
Calculated formation energy in eV/atom: -0.355

Unit cell a=3.928 b=7.004 c=7.004 alpha=79.09 beta=73.72 gamma=73.72
Element x y z (fractional)
Th 0.000 0.000 0.000
Cd 0.000 0.500 0.500
Cd 0.650 0.542 0.157
Cd 0.350 0.458 0.843
Cd 0.350 0.843 0.458
Cd 0.650 0.157 0.542
Pd 0.712 0.788 0.788
Pd 0.288 0.212 0.212

6.
A geometry-optimized Tb2PuCuS5 structure, computed with PBE.

Summary:
Magnetization in μB/atom: 0.5557
DFT total energy in eV per atom: -6.953
D(E_F) in states/eV/atom: 1.25
Formation energy (no corrections) in kcal/mol of atoms: -36.51

Unit cell a=3.839 b=8.781 c=11.287 alpha=90.00 beta=90.00 gamma=102.63
Element x y z (fractional)
Tb 0.883 0.767 0.808
Tb 0.103 0.205 0.684
Tb 0.117 0.233 0.308
Tb 0.897 0.795 0.184
Pu 0.800 0.601 0.510
Pu 0.200 0.399 0.010
Cu 0.560 0.120 0.955
Cu 0.440 0.880 0.455
S 0.362 0.724 0.002
S 0.678 0.355 0.842
S 0.497 0.995 0.778
S 0.293 0.586 0.682
S 0.954 0.907 0.563
S 0.638 0.276 0.502
S 0.322 0.645 0.342
S 0.503 0.005 0.278
S 0.707 0.414 0.182
S 0.046 0.093 0.063